No. 1
VASP calculation (SCAN) on a PBEsol-optimized structure of PBr3N.

Cell: 5.009 5.009 5.009 Å, 90.00 90.00 90.00°
Atoms (fractional coordinates):
P (0.000, 0.000, 0.000)
Br (0.000, 0.000, 0.500)
Br (0.000, 0.500, 0.000)
Br (0.500, 0.000, 0.000)
N (0.500, 0.500, 0.500)

Properties
SG	Pm-3m (221)
E	-14.72	eV/atom
energy relative to the elements, uncorrected	4.46	eV per formula unit
mass density	3762	kg/m3

---

No. 2
VASP calculation (SCAN) on a PBEsol-optimized structure of PSe2BrN.

Cell: 5.241 5.241 3.183 Å, 90.00 90.00 90.00°
Atoms (fractional coordinates):
P (0.000, 0.000, 0.000)
Se (0.000, 0.500, 0.000)
Se (0.500, 0.000, 0.000)
Br (0.500, 0.500, 0.500)
N (0.000, 0.000, 0.500)

Properties
SG	P4/mmm (123)
E	-15.14	eV/atom
energy relative to the elements, uncorrected	3.62	eV per formula unit
mass density	5371	kg/m3

---

No. 3
VASP calculation (SCAN) on a PBEsol-optimized structure of PSeBr2N.

Cell: 4.318 4.318 4.850 Å, 90.00 90.00 90.00°
Atoms (fractional coordinates):
P (0.000, 0.000, 0.000)
Se (0.500, 0.500, 0.000)
Br (0.000, 0.500, 0.500)
Br (0.500, 0.000, 0.500)
N (0.500, 0.500, 0.500)

Properties
SG	P4/mmm (123)
E	-14.31	eV/atom
energy relative to the elements, uncorrected	7.16	eV per formula unit
mass density	5212	kg/m3

---

No. 4
VASP calculation (SCAN) on a PBEsol-optimized structure of SnPBr2N.

Cell: 5.585 5.585 3.349 Å, 90.00 90.00 90.00°
Atoms (fractional coordinates):
Sn (0.000, 0.000, 0.000)
P (0.500, 0.500, 0.500)
Br (0.000, 0.500, 0.500)
Br (0.500, 0.000, 0.500)
N (0.500, 0.500, 0.000)

Properties
SG	P4/mmm (123)
E	-18.63	eV/atom
energy relative to the elements, uncorrected	1.36	eV per formula unit
mass density	5144	kg/m3

---

No. 5
VASP calculation (SCAN) on a PBEsol-optimized structure of Sn2PBrN.

Cell: 5.175 5.175 5.023 Å, 90.00 90.00 90.00°
Atoms (fractional coordinates):
Sn (0.000, 0.500, 0.000)
Sn (0.500, 0.000, 0.000)
P (0.000, 0.000, 0.000)
Br (0.000, 0.000, 0.500)
N (0.500, 0.500, 0.500)

Properties
SG	P4/mmm (123)
E	-20.86	eV/atom
energy relative to the elements, uncorrected	6.68	eV per formula unit
mass density	4472	kg/m3

---

No. 6
VASP calculation (SCAN) on a PBEsol-optimized structure of PbBr2N2.

Cell: 5.501 5.501 7.191 Å, 90.00 90.00 90.00°
Atoms (fractional coordinates):
Pb (0.000, 0.000, 0.000)
Pb (0.500, 0.500, 0.500)
Br (0.000, 0.500, 0.250)
Br (0.000, 0.500, 0.750)
Br (0.500, 0.000, 0.250)
Br (0.500, 0.000, 0.750)
N (0.000, 0.000, 0.422)
N (0.000, 0.000, 0.578)
N (0.500, 0.500, 0.078)
N (0.500, 0.500, 0.922)

Properties
SG	I4/mmm (139)
E	-27.07	eV/atom
energy relative to the elements, uncorrected	-2.07	eV per formula unit
mass density	6029	kg/m3

---

No. 7
VASP calculation (SCAN) on a PBEsol-optimized structure of PbBr2N.

Cell: 7.288 7.288 7.288 Å, 90.00 90.00 90.00°
Atoms (fractional coordinates):
Pb (0.000, 0.000, 0.000)
Pb (0.000, 0.500, 0.500)
Pb (0.500, 0.000, 0.500)
Pb (0.500, 0.500, 0.000)
Br (0.250, 0.250, 0.250)
Br (0.250, 0.250, 0.750)
Br (0.250, 0.750, 0.250)
Br (0.250, 0.750, 0.750)
Br (0.750, 0.250, 0.250)
Br (0.750, 0.250, 0.750)
Br (0.750, 0.750, 0.250)
Br (0.750, 0.750, 0.750)
N (0.000, 0.000, 0.500)
N (0.000, 0.500, 0.000)
N (0.500, 0.000, 0.000)
N (0.500, 0.500, 0.500)

Properties
SG	Fm-3m (225)
E	-30.53	eV/atom
energy relative to the elements, uncorrected	1.88	eV per formula unit
mass density	6537	kg/m3

---

No. 8
VASP calculation (SCAN) on a PBEsol-optimized structure of PbBr3N.

Cell: 5.596 5.596 5.596 Å, 90.00 90.00 90.00°
Atoms (fractional coordinates):
Pb (0.000, 0.000, 0.000)
Br (0.000, 0.000, 0.500)
Br (0.000, 0.500, 0.000)
Br (0.500, 0.000, 0.000)
N (0.500, 0.500, 0.500)

Properties
SG	Pm-3m (221)
E	-28.15	eV/atom
energy relative to the elements, uncorrected	2.72	eV per formula unit
mass density	4368	kg/m3

---

Total magnetic moment values, unit μB per atom, following the record order: 0.60, 0.00, 0.00, 0.00, 0.36, 0.00, 0.74, 0.60.